No. 1
! MnReRu2, relaxed, DFT PBE; values from VASP
! Fermi-level density of states ... 1.119 states/eV per atom
! ΔH_f (0 K) ... 0.13 eV per atom
! Energy relative to the lowest polymorph listed for this composition ... 1.89 kcal/mol of atoms
! Space-group type ... No. 160
! Crystal system ... trigonal
&SYSTEM
  ibrav = 0, nat = 4, ntyp = 3
/
ATOMIC_SPECIES
Mn 54.94 Mn.upf
Re 186.21 Re.upf
Ru 101.07 Ru.upf
CELL_PARAMETERS angstrom
8.8441 -0.0014 -0.0008
8.4341 2.6614 -0.0008
8.4341 1.2984 2.3232
ATOMIC_POSITIONS angstrom
Mn 12.9047 1.9867 1.1651
Re 19.3339 2.9765 1.7456
Ru 0.0113 0.0017 0.0010
Ru 6.3186 0.9727 0.5705

---

No. 2
! MnRe4Ru, relaxed, DFT PBE; values from VASP
! Fermi-level density of states ... 1.161 states/eV per atom
! ΔH_f (0 K) ... 0.44 eV per atom
! Space-group type ... No. 216
! Crystal system ... cubic
&SYSTEM
  ibrav = 0, nat = 6, ntyp = 3
/
ATOMIC_SPECIES
Mn 54.94 Mn.upf
Re 186.21 Re.upf
Ru 101.07 Ru.upf
CELL_PARAMETERS angstrom
-3.4086 -2.4960 2.8989
-3.8555 2.5599 2.1988
-4.7968 -0.6562 -1.6771
ATOMIC_POSITIONS angstrom
Mn 0.0000 0.0000 0.0000
Re -5.1346 -0.0406 2.9835
Re -5.6079 -1.6577 1.0347
Re -7.5465 -0.3706 2.1403
Re -5.8326 0.8844 0.6827
Ru -3.0152 -0.1481 0.8551

---

No. 3
! MnReRu2, relaxed, DFT PBE; values from VASP
! Fermi-level density of states ... 1.189 states/eV per atom
! ΔH_f (0 K) ... 0.05 eV per atom
! Energy relative to the lowest polymorph listed for this composition ... 0.00 kcal/mol of atoms
! Space-group type ... No. 139
! Crystal system ... tetragonal
&SYSTEM
  ibrav = 0, nat = 4, ntyp = 3
/
ATOMIC_SPECIES
Mn 54.94 Mn.upf
Re 186.21 Re.upf
Ru 101.07 Ru.upf
CELL_PARAMETERS angstrom
4.6184 -0.0423 0.0000
1.4957 4.3697 0.0000
-3.0570 -2.1637 2.7026
ATOMIC_POSITIONS angstrom
Mn 0.7479 2.1848 1.3513
Re 2.3092 -0.0212 1.3513
Ru 0.0000 0.0000 0.0000
Ru 3.0570 2.1637 0.0000

---

No. 4
! MnReRu2, relaxed, DFT PBE; values from VASP
! Fermi-level density of states ... 1.112 states/eV per atom
! ΔH_f (0 K) ... 0.06 eV per atom
! Energy relative to the lowest polymorph listed for this composition ... 0.35 kcal/mol of atoms
! Space-group type ... No. 10
! Crystal system ... monoclinic
&SYSTEM
  ibrav = 0, nat = 4, ntyp = 3
/
ATOMIC_SPECIES
Mn 54.94 Mn.upf
Re 186.21 Re.upf
Ru 101.07 Ru.upf
CELL_PARAMETERS angstrom
3.7937 0.0000 0.0000
0.0000 2.7000 0.0111
0.0000 2.6871 5.3800
ATOMIC_POSITIONS angstrom
Mn 1.8969 1.3468 1.3478
Re 1.8969 4.0403 4.0433
Ru 0.0000 2.7027 0.0517
Ru 0.0000 2.6908 2.6548

---

No. 5
! MnReRu4, relaxed, DFT PBE; values from VASP
! Fermi-level density of states ... 1.336 states/eV per atom
! ΔH_f (0 K) ... 0.50 eV per atom
! Energy relative to the lowest polymorph listed for this composition ... 11.67 kcal/mol of atoms
! Space-group type ... No. 216
! Crystal system ... cubic
&SYSTEM
  ibrav = 0, nat = 6, ntyp = 3
/
ATOMIC_SPECIES
Mn 54.94 Mn.upf
Re 186.21 Re.upf
Ru 101.07 Ru.upf
CELL_PARAMETERS angstrom
-0.0778 3.4828 3.6236
-4.1658 0.6996 2.7246
-0.1102 -1.3974 4.8272
ATOMIC_POSITIONS angstrom
Mn -3.2653 2.0888 8.3815
Re 0.0000 0.0000 0.0000
Ru -1.6727 2.7827 6.0016
Ru -1.6888 0.3480 6.6020
Ru -3.7121 1.3942 5.5531
Ru -1.6339 1.0452 4.1939

---

No. 6
! MnReRu2, relaxed, DFT PBE; values from VASP
! Fermi-level density of states ... 1.066 states/eV per atom
! ΔH_f (0 K) ... 0.24 eV per atom
! Energy relative to the lowest polymorph listed for this composition ... 4.36 kcal/mol of atoms
! Space-group type ... No. 123
! Crystal system ... tetragonal
&SYSTEM
  ibrav = 0, nat = 4, ntyp = 3
/
ATOMIC_SPECIES
Mn 54.94 Mn.upf
Re 186.21 Re.upf
Ru 101.07 Ru.upf
CELL_PARAMETERS angstrom
-2.6166 -3.4380 1.1362
3.5843 -2.6580 0.2117
0.3302 0.6665 2.7773
ATOMIC_POSITIONS angstrom
Mn -1.1432 -1.3857 1.9567
Re 1.9573 -0.9957 1.4945
Ru 0.0000 0.0000 0.0000
Ru 0.4839 -3.0480 0.6739

---

No. 7
! MnReRu2, relaxed, DFT PBE; values from VASP
! Fermi-level density of states ... 1.000 states/eV per atom
! ΔH_f (0 K) ... 0.07 eV per atom
! Energy relative to the lowest polymorph listed for this composition ... 0.57 kcal/mol of atoms
! Space-group type ... No. 12
! Crystal system ... monoclinic
&SYSTEM
  ibrav = 0, nat = 4, ntyp = 3
/
ATOMIC_SPECIES
Mn 54.94 Mn.upf
Re 186.21 Re.upf
Ru 101.07 Ru.upf
CELL_PARAMETERS angstrom
4.6382 0.0039 0.0043
3.8547 2.5797 0.0043
0.7576 0.2305 4.5916
ATOMIC_POSITIONS angstrom
Mn 6.9379 2.1105 3.4501
Re 2.3126 0.7035 1.1500
Ru 0.7661 0.2331 4.5769
Ru 4.6168 1.4044 2.3148

---

No. 8
! Mn8ReRu3, relaxed, DFT PBE; values from VASP
! Fermi-level density of states ... 1.217 states/eV per atom
! ΔH_f (0 K) ... -0.01 eV per atom
! Space-group type ... No. 156
! Crystal system ... trigonal
&SYSTEM
  ibrav = 0, nat = 12, ntyp = 3
/
ATOMIC_SPECIES
Mn 54.94 Mn.upf
Re 186.21 Re.upf
Ru 101.07 Ru.upf
CELL_PARAMETERS angstrom
4.6647 0.0000 0.0000
-2.3324 4.0398 0.0000
0.0000 0.0000 7.5964
ATOMIC_POSITIONS angstrom
Mn 0.0000 2.6932 3.7987
Mn 0.0000 2.6932 7.5898
Mn 2.3324 0.0622 5.7080
Mn 1.2200 1.9888 5.7080
Mn 3.4447 1.9888 5.7080
Mn 0.0000 1.2854 1.9034
Mn -1.2192 3.3971 1.9034
Mn 1.2192 3.3971 1.9034
Re 0.0000 0.0000 4.2993
Ru 2.3324 1.3466 3.2722
Ru 2.3324 1.3466 0.5175
Ru 0.0000 0.0000 7.0657

---

No. 9
! MnReRu2, relaxed, DFT PBE; values from VASP
! Fermi-level density of states ... 1.096 states/eV per atom
! ΔH_f (0 K) ... 0.68 eV per atom
! Energy relative to the lowest polymorph listed for this composition ... 14.63 kcal/mol of atoms
! Space-group type ... No. 122
! Crystal system ... tetragonal
&SYSTEM
  ibrav = 0, nat = 8, ntyp = 3
/
ATOMIC_SPECIES
Re 186.21 Re.upf
Mn 54.94 Mn.upf
Ru 101.07 Ru.upf
CELL_PARAMETERS angstrom
3.7172 0.0000 0.0000
0.0000 3.7172 0.0000
1.8586 1.8586 8.7325
ATOMIC_POSITIONS angstrom
Re 0.0000 0.0000 0.0000
Re 3.7172 1.8586 4.3663
Mn 1.8586 1.8586 0.0000
Mn 1.8586 3.7172 4.3663
Ru 2.6890 0.9293 2.1831
Ru 1.0282 2.7879 2.1831
Ru 2.7879 2.8868 6.5494
Ru 4.6465 4.5476 6.5494

---

No. 10
! MnReRu4, relaxed, DFT PBE; values from VASP
! Fermi-level density of states ... 0.760 states/eV per atom
! ΔH_f (0 K) ... 0.00 eV per atom
! Energy relative to the lowest polymorph listed for this composition ... 0.00 kcal/mol of atoms
! Space-group type ... No. 12
! Crystal system ... monoclinic
&SYSTEM
  ibrav = 0, nat = 12, ntyp = 3
/
ATOMIC_SPECIES
Mn 54.94 Mn.upf
Re 186.21 Re.upf
Ru 101.07 Ru.upf
CELL_PARAMETERS angstrom
-5.2359 -4.0720 -0.0064
1.1263 -1.4403 -5.0936
2.9341 -1.9861 4.0853
ATOMIC_POSITIONS angstrom
Mn -0.2281 -2.8697 -2.1140
Mn -0.9474 -4.6287 1.0993
Re -0.7776 -2.1498 0.4359
Re -0.3979 -5.3486 -1.4506
Ru -3.4234 -5.4079 0.7721
Ru -1.8309 -4.3706 -3.4654
Ru 0.8349 -1.0676 -3.7758
Ru 1.2123 -3.8399 -0.0676
Ru 2.2479 -2.0905 -1.7868
Ru 0.6555 -3.1278 2.4507
Ru 0.2914 -0.3726 -1.3178
Ru -2.3878 -3.6585 -0.9471

---

No. 11
! MnReRu2, relaxed, DFT PBE; values from VASP
! Fermi-level density of states ... 1.103 states/eV per atom
! ΔH_f (0 K) ... 0.21 eV per atom
! Energy relative to the lowest polymorph listed for this composition ... 3.67 kcal/mol of atoms
! Space-group type ... No. 44
! Crystal system ... orthorhombic
&SYSTEM
  ibrav = 0, nat = 4, ntyp = 3
/
ATOMIC_SPECIES
Mn 54.94 Mn.upf
Re 186.21 Re.upf
Ru 101.07 Ru.upf
CELL_PARAMETERS angstrom
-3.1489 -3.9204 1.1246
1.5938 -3.6261 3.2955
-1.0445 4.9845 -0.7831
ATOMIC_POSITIONS angstrom
Mn -0.7749 -3.7606 2.2027
Re -0.1445 -1.3547 2.4475
Ru -0.0079 -0.0382 0.0224
Ru -2.4498 -1.1817 1.1745

---

No. 12
! MnReRu2, relaxed, DFT PBE; values from VASP
! Fermi-level density of states ... 1.255 states/eV per atom
! ΔH_f (0 K) ... 0.08 eV per atom
! Energy relative to the lowest polymorph listed for this composition ... 0.67 kcal/mol of atoms
! Space-group type ... No. 123
! Crystal system ... tetragonal
&SYSTEM
  ibrav = 0, nat = 4, ntyp = 3
/
ATOMIC_SPECIES
Mn 54.94 Mn.upf
Re 186.21 Re.upf
Ru 101.07 Ru.upf
CELL_PARAMETERS angstrom
-0.4998 -2.3710 1.1919
-0.9751 -0.9640 -2.3264
6.8340 -2.3839 -1.8765
ATOMIC_POSITIONS angstrom
Mn 0.9711 -2.2635 -1.0364
Re 4.3881 -3.4554 -1.9746
Ru 0.0810 -0.0282 -0.0222
Ru 3.3360 -1.1637 -0.9160

---

No. 13
! Mn8Re3Ru, relaxed, DFT PBE; values from VASP
! Fermi-level density of states ... 0.799 states/eV per atom
! ΔH_f (0 K) ... -0.09 eV per atom
! Space-group type ... No. 156
! Crystal system ... trigonal
&SYSTEM
  ibrav = 0, nat = 12, ntyp = 3
/
ATOMIC_SPECIES
Mn 54.94 Mn.upf
Re 186.21 Re.upf
Ru 101.07 Ru.upf
CELL_PARAMETERS angstrom
-1.2371 -1.5697 4.2136
3.6932 -1.8329 -2.1792
4.5110 5.2081 3.2646
ATOMIC_POSITIONS angstrom
Mn 4.3058 0.8595 1.5844
Mn 2.0540 -1.7403 -0.0452
Mn 2.8069 3.0772 4.5512
Mn 4.5702 2.2021 3.5107
Mn 3.9795 1.4527 5.5225
Mn 2.1055 0.4689 0.7928
Mn 4.0364 -0.4894 -0.3465
Mn 3.3896 -1.3101 1.8565
Re 2.3584 0.5963 3.4953
Re 0.7137 -1.3026 2.3051
Re 4.2026 4.8520 3.0414
Ru 2.5688 2.9658 1.8590

---

No. 14
! MnReRu2, relaxed, DFT PBE; values from VASP
! Fermi-level density of states ... 1.161 states/eV per atom
! ΔH_f (0 K) ... 0.08 eV per atom
! Energy relative to the lowest polymorph listed for this composition ... 0.79 kcal/mol of atoms
! Space-group type ... No. 8
! Crystal system ... monoclinic
&SYSTEM
  ibrav = 0, nat = 4, ntyp = 3
/
ATOMIC_SPECIES
Mn 54.94 Mn.upf
Re 186.21 Re.upf
Ru 101.07 Ru.upf
CELL_PARAMETERS angstrom
4.6508 0.0096 -0.0196
3.8620 2.5913 -0.0196
0.7952 0.2430 4.5820
ATOMIC_POSITIONS angstrom
Mn 4.6587 1.4233 2.2904
Re 2.3233 0.7098 1.1311
Ru 0.0143 0.0044 0.0072
Ru 6.9658 2.1282 3.3856

---

No. 15
! MnReRu2, relaxed, DFT PBE; values from VASP
! Fermi-level density of states ... 1.473 states/eV per atom
! ΔH_f (0 K) ... 0.33 eV per atom
! Energy relative to the lowest polymorph listed for this composition ... 6.47 kcal/mol of atoms
! Space-group type ... No. 65
! Crystal system ... orthorhombic
&SYSTEM
  ibrav = 0, nat = 4, ntyp = 3
/
ATOMIC_SPECIES
Mn 54.94 Mn.upf
Re 186.21 Re.upf
Ru 101.07 Ru.upf
CELL_PARAMETERS angstrom
2.6894 0.0078 0.0000
-1.1284 2.4412 0.0000
0.0000 0.0000 8.7025
ATOMIC_POSITIONS angstrom
Mn 0.7805 1.2245 2.1756
Re 0.7805 1.2245 6.5268
Ru 0.0000 0.0000 0.0546
Ru 0.0000 0.0000 4.2966

---

No. 16
! MnReRu2, relaxed, DFT PBE; values from VASP
! Fermi-level density of states ... 1.062 states/eV per atom
! ΔH_f (0 K) ... 0.08 eV per atom
! Energy relative to the lowest polymorph listed for this composition ... 0.78 kcal/mol of atoms
! Space-group type ... No. 25
! Crystal system ... orthorhombic
&SYSTEM
  ibrav = 0, nat = 4, ntyp = 3
/
ATOMIC_SPECIES
Mn 54.94 Mn.upf
Re 186.21 Re.upf
Ru 101.07 Ru.upf
CELL_PARAMETERS angstrom
2.6986 0.0000 0.0000
0.0000 3.7474 0.0000
0.0000 0.0000 5.4041
ATOMIC_POSITIONS angstrom
Mn 0.0000 0.0000 2.6683
Re 1.3493 1.8737 4.0057
Ru 0.0000 0.0000 5.4024
Ru 1.3493 1.8737 1.4338

---

No. 17
! MnReRu2, relaxed, DFT PBE; values from VASP
! Fermi-level density of states ... 0.916 states/eV per atom
! ΔH_f (0 K) ... 0.05 eV per atom
! Energy relative to the lowest polymorph listed for this composition ... 0.18 kcal/mol of atoms
! Space-group type ... No. 119
! Crystal system ... tetragonal
&SYSTEM
  ibrav = 0, nat = 4, ntyp = 3
/
ATOMIC_SPECIES
Mn 54.94 Mn.upf
Re 186.21 Re.upf
Ru 101.07 Ru.upf
CELL_PARAMETERS angstrom
-3.8572 1.0589 2.3968
-3.4375 -2.9357 -1.1440
4.4102 -0.7184 1.3332
ATOMIC_POSITIONS angstrom
Mn -3.6474 -0.9384 0.6264
Re -1.5472 -0.2990 2.1782
Ru 0.0000 0.0000 0.0000
Ru -1.3373 -2.2963 0.4078

---

No. 18
! MnReRu2, relaxed, DFT PBE; values from VASP
! Fermi-level density of states ... 1.341 states/eV per atom
! ΔH_f (0 K) ... 0.34 eV per atom
! Energy relative to the lowest polymorph listed for this composition ... 6.78 kcal/mol of atoms
! Space-group type ... No. 216
! Crystal system ... cubic
&SYSTEM
  ibrav = 0, nat = 4, ntyp = 3
/
ATOMIC_SPECIES
Mn 54.94 Mn.upf
Re 186.21 Re.upf
Ru 101.07 Ru.upf
CELL_PARAMETERS angstrom
4.3119 0.0000 0.0000
2.1560 3.7343 0.0000
2.1560 1.2448 3.5207
ATOMIC_POSITIONS angstrom
Mn 4.3119 2.4895 1.7603
Re 6.4679 3.7343 2.6405
Ru 0.0000 0.0000 0.0000
Ru 2.1560 1.2448 0.8802

---

No. 19
! MnReRu2, relaxed, DFT PBE; values from VASP
! Fermi-level density of states ... 1.108 states/eV per atom
! ΔH_f (0 K) ... 0.09 eV per atom
! Energy relative to the lowest polymorph listed for this composition ... 0.93 kcal/mol of atoms
! Space-group type ... No. 6
! Crystal system ... monoclinic
&SYSTEM
  ibrav = 0, nat = 4, ntyp = 3
/
ATOMIC_SPECIES
Mn 54.94 Mn.upf
Re 186.21 Re.upf
Ru 101.07 Ru.upf
CELL_PARAMETERS angstrom
-1.6035 3.1396 2.1157
-1.5149 -1.7355 1.4272
2.8412 -1.2638 4.0288
ATOMIC_POSITIONS angstrom
Mn 0.3598 -1.8211 2.9751
Re 0.4730 -0.3559 4.8817
Ru 1.3174 -2.8813 5.2743
Ru -0.4381 0.6997 2.6246

---

No. 20
! MnReRu2, relaxed, DFT PBE; values from VASP
! Fermi-level density of states ... 1.468 states/eV per atom
! ΔH_f (0 K) ... 0.07 eV per atom
! Energy relative to the lowest polymorph listed for this composition ... 0.63 kcal/mol of atoms
! Space-group type ... No. 65
! Crystal system ... orthorhombic
&SYSTEM
  ibrav = 0, nat = 4, ntyp = 3
/
ATOMIC_SPECIES
Mn 54.94 Mn.upf
Re 186.21 Re.upf
Ru 101.07 Ru.upf
CELL_PARAMETERS angstrom
4.6428 0.0217 0.0000
-1.5276 4.3843 0.0000
0.0000 0.0000 2.7156
ATOMIC_POSITIONS angstrom
Mn 2.3214 0.0109 1.3578
Re -0.7638 2.1922 1.3578
Ru 0.0000 0.0000 0.0000
Ru 1.5576 2.2030 0.0000

---

| no. | size of the total moment (μB/cell) |
| --- | --- |
| 1 | 0.86 |
| 2 | 2.65 |
| 3 | 1.30 |
| 4 | 1.63 |
| 5 | 3.73 |
| 6 | 4.10 |
| 7 | 1.57 |
| 8 | 1.39 |
| 9 | 4.14 |
| 10 | 0.00 |
| 11 | 2.74 |
| 12 | 1.30 |
| 13 | 0.18 |
| 14 | 1.66 |
| 15 | 3.68 |
| 16 | 1.34 |
| 17 | 1.22 |
| 18 | 4.23 |
| 19 | 0.00 |
| 20 | 1.68 |